{"formula": "Ac2MnPbSe5", "functional": "GGA-PBE", "state": "optimized geometry", "lattice": [[-0.3129, -4.2297, 0.9853], [2.2581, 3.9689, 8.1339], [-12.6035, 1.5692, 2.7333]], "species": ["Se", "Ac", "Pb", "Pb", "Se", "Se", "Se", "Mn", "Se", "Se", "Ac", "Ac", "Se", "Mn", "Se", "Se", "Se", "Ac"], "fractional_positions": [[0.7091, 0.4182, 0.1991], [0.8855, 0.7710, 0.1936], [0.1830, 0.3660, 0.0367], [0.8170, 0.6340, 0.5367], [0.2909, 0.5818, 0.6991], [0.4862, 0.9725, 0.7476], [0.9945, 0.9891, 0.5047], [0.5441, 0.0882, 0.9222], [0.3228, 0.6456, 0.3596], [0.0055, 0.0109, 0.0047], [0.1145, 0.2290, 0.6936], [0.1300, 0.2599, 0.3416], [0.3436, 0.6872, 0.0188], [0.4559, 0.9118, 0.4222], [0.6564, 0.3128, 0.5188], [0.5138, 0.0275, 0.2476], [0.6772, 0.3544, 0.8596], [0.8700, 0.7401, 0.8416]], "space_group": "No. 36", "e_form_raw_ev_per_atom": -1.3479}

=====

{"formula": "Tl2NO", "functional": "GGA-PBE", "state": "optimized geometry", "lattice": [[5.3496, 0.0000, 0.0000], [0.0000, 5.3496, 0.0000], [2.6748, 2.6748, 5.4280]], "species": ["N", "O", "N", "Tl", "Tl", "Tl", "Tl", "O"], "fractional_positions": [[0.2500, 0.7500, 0.5000], [0.7500, 0.2500, 0.5000], [0.5000, 0.5000, 0.0000], [0.3750, 0.3870, 0.7500], [0.8750, 0.8630, 0.7500], [0.1370, 0.6250, 0.2500], [0.6130, 0.1250, 0.2500], [0.0000, 0.0000, 0.0000]], "e_above_lowest_polymorph_mev_per_atom": 0, "space_group": "No. 122", "e_form_raw_ev_per_atom": 0.1911}

=====

{"formula": "Cs2TlAg2I6", "functional": "GGA-PBE", "state": "optimized geometry", "lattice": [[8.6043, 0.0000, 0.0000], [-4.3022, 8.0447, 0.2857], [0.0000, -4.3416, 7.2993]], "species": ["I", "Ag", "I", "I", "I", "Cs", "Cs", "I", "I", "Ag", "Tl"], "fractional_positions": [[0.7129, 0.9100, 0.1973], [0.0700, 0.1400, 0.1898], [0.7372, 0.4744, 0.6689], [0.2871, 0.0900, 0.8027], [0.8029, 0.0900, 0.8027], [0.7401, 0.4802, 0.2067], [0.2599, 0.5198, 0.7933], [0.1971, 0.9100, 0.1973], [0.2628, 0.5256, 0.3311], [0.9300, 0.8600, 0.8102], [0.5000, 0.0000, 0.5000]], "space_group": "No. 12", "e_form_raw_ev_per_atom": -0.7342}

=====

{"formula": "HoMg2Pt2", "functional": "GGA-PBE", "state": "optimized geometry", "lattice": [[-2.5301, 3.0538, -2.5818], [-0.5144, -3.5083, -3.6455], [-6.7406, -1.5304, 4.7954]], "species": ["Ho", "Pt", "Ho", "Pt", "Mg", "Mg", "Mg", "Mg", "Pt", "Pt"], "fractional_positions": [[0.2500, 0.8295, 0.2124], [0.7500, 0.7150, 0.9969], [0.7500, 0.1705, 0.7876], [0.7500, 0.1029, 0.4293], [0.2500, 0.7053, 0.8344], [0.7500, 0.6398, 0.5353], [0.7500, 0.2947, 0.1656], [0.2500, 0.3602, 0.4647], [0.2500, 0.8971, 0.5707], [0.2500, 0.2850, 0.0031]], "e_above_lowest_polymorph_mev_per_atom": 0, "e_form_mev_per_atom": -874, "space_group": "No. 11"}

=====

{"formula": "CaNb2Cd", "functional": "GGA-PBE", "state": "optimized geometry", "lattice": [[4.1303, -1.2165, 2.3783], [0.2120, -4.1834, 2.5787], [2.7532, -3.7447, -1.6100]], "species": ["Nb", "Nb", "Cd", "Ca"], "fractional_positions": [[0.2500, 0.2500, 0.2500], [0.7500, 0.7500, 0.7500], [0.5000, 0.5000, 0.5000], [0.0000, 0.0000, 0.0000]], "e_above_lowest_polymorph_mev_per_atom": 0, "e_form_mev_per_atom": 787, "space_group": "No. 225"}

=====

{"formula": "Dy6SiS12", "functional": "GGA-PBE", "state": "optimized geometry", "lattice": [[7.6718, -0.0082, -0.0098], [-1.1712, 7.5819, -0.0098], [-1.1712, -1.3645, 7.4581]], "species": ["S", "S", "S", "S", "S", "Dy", "Dy", "Si", "S", "Dy", "Dy", "Dy", "S", "S", "S", "S", "S", "Dy", "S"], "fractional_positions": [[0.9429, 0.0237, 0.6966], [0.8193, 0.5594, 0.4207], [0.9763, 0.3034, 0.0571], [0.6966, 0.9429, 0.0237], [0.3034, 0.0571, 0.9763], [0.2920, 0.1319, 0.6299], [0.7080, 0.8681, 0.3701], [0.0000, 0.0000, 0.0000], [0.4207, 0.8193, 0.5594], [0.6299, 0.2920, 0.1319], [0.1319, 0.6299, 0.2920], [0.8681, 0.3701, 0.7080], [0.5594, 0.4207, 0.8193], [0.4406, 0.5793, 0.1807], [0.5793, 0.1807, 0.4406], [0.0237, 0.6966, 0.9429], [0.0571, 0.9763, 0.3034], [0.3701, 0.7080, 0.8681], [0.1807, 0.4406, 0.5793]], "space_group": "No. 148", "e_form_raw_ev_per_atom": -1.6050}

=====

{"formula": "BaTlH3", "functional": "GGA-PBE", "state": "optimized geometry", "lattice": [[4.4623, 0.0000, 0.0000], [0.0000, 4.4623, 0.0000], [0.0000, 0.0000, 4.4623]], "species": ["H", "H", "Tl", "Ba", "H"], "fractional_positions": [[0.0000, 0.5000, 0.0000], [0.0000, 0.0000, 0.5000], [0.0000, 0.0000, 0.0000], [0.5000, 0.5000, 0.5000], [0.5000, 0.0000, 0.0000]], "e_above_lowest_polymorph_mev_per_atom": 0, "space_group": "No. 221"}

=====

{"formula": "Tb2NdCd2", "functional": "GGA-PBE", "state": "optimized geometry", "lattice": [[-2.2531, -1.1531, 4.8007], [-3.6385, -4.6276, -2.8192], [6.9191, -4.8414, -0.9831]], "species": ["Tb", "Tb", "Cd", "Cd", "Nd", "Nd", "Tb", "Tb", "Cd", "Cd"], "fractional_positions": [[0.9703, 0.7589, 0.9405], [0.8029, 0.1412, 0.6059], [0.2115, 0.1428, 0.4230], [0.6229, 0.4114, 0.2457], [0.5862, 0.9112, 0.1724], [0.4138, 0.4112, 0.8276], [0.1971, 0.6412, 0.3941], [0.0297, 0.2589, 0.0595], [0.3771, 0.9114, 0.7543], [0.7885, 0.6428, 0.5770]], "e_above_lowest_polymorph_mev_per_atom": 69, "e_form_mev_per_atom": -185, "space_group": "No. 36"}